[1]
A plane-wave DFT calculation with PBE was carried out for a relaxed structure of NdZnSb.

a = 8.843 Å, b = 4.168 Å, c = 19.775 Å
α = 147.39°, β = 34.98°, γ = 118.02°
Element x y z (fractional)
Sb 0.509 0.163 0.164
Sb 0.491 0.837 0.836
Nd 0.051 0.149 0.650
Nd 0.949 0.851 0.350
Zn 0.740 0.782 0.260
Zn 0.260 0.218 0.740

Output
E_form (uncorrected) in meV/atom: -578.8
Mass density in g/cm3: 6.97

[2]
A plane-wave DFT calculation with PBE was carried out for a relaxed structure of Li4CdPd.

a = 4.974 Å, b = 7.025 Å, c = 7.150 Å
α = 119.42°, β = 101.70°, γ = 90.00°
Element x y z (fractional)
Li 0.274 0.662 0.324
Li 0.417 0.077 0.756
Li 0.000 0.194 0.000
Li 0.583 0.321 0.244
Li 0.726 0.338 0.676
Li 0.583 0.923 0.244
Li 0.000 0.806 0.000
Li 0.417 0.679 0.756
Cd 0.853 0.785 0.570
Cd 0.147 0.215 0.430
Pd 0.231 0.449 0.898
Pd 0.769 0.551 0.102

Output
Energy of formation in eV per atom: -0.23
Energy above the lowest structure with this stoichiometry in meV/atom: 64.0
Mass density in g/cm3: 3.87

[3]
A plane-wave DFT calculation with PBE was carried out for a relaxed structure of PrErTmPu.

a = 5.619 Å, b = 5.619 Å, c = 5.619 Å
α = 60.00°, β = 60.00°, γ = 60.00°
Element x y z (fractional)
Er 0.750 0.750 0.750
Pr 0.500 0.500 0.500
Tm 0.250 0.250 0.250
Pu 0.000 0.000 0.000

Output
Energy of formation in eV per atom: 0.20
Mass density in g/cm3: 9.55

[4]
A plane-wave DFT calculation with PBE was carried out for a relaxed structure of Ga2Cu8Au.

a = 6.885 Å, b = 4.965 Å, c = 4.965 Å
α = 61.92°, β = 83.10°, γ = 83.10°
Element x y z (fractional)
Au 0.000 0.000 0.000
Cu 0.711 0.103 0.603
Cu 0.289 0.397 0.897
Cu 0.611 0.116 0.116
Cu 0.389 0.884 0.884
Cu 0.711 0.603 0.103
Cu 0.289 0.897 0.397
Cu 0.388 0.389 0.389
Cu 0.612 0.611 0.611
Ga 0.033 0.338 0.338
Ga 0.967 0.662 0.662

Output
Energy of formation in eV per atom: -0.02
Energy above the lowest structure with this stoichiometry in meV/atom: 0.0
Mass density in g/cm3: 9.46

[5]
A plane-wave DFT calculation with PBE was carried out for a relaxed structure of Tb4NdY2Tm2.

a = 3.593 Å, b = 9.495 Å, c = 9.549 Å
α = 115.18°, β = 90.00°, γ = 100.91°
Element x y z (fractional)
Tb 0.815 0.629 0.665
Tb 0.185 0.371 0.335
Tb 0.518 0.037 0.334
Tb 0.482 0.963 0.666
Nd 0.000 0.000 0.000
Y 0.852 0.704 0.332
Y 0.148 0.296 0.668
Tm 0.332 0.663 0.998
Tm 0.668 0.337 0.002

Output
Energy of formation in eV per atom: 0.00
Mass density in g/cm3: 7.46

[6]
A plane-wave DFT calculation with PBE was carried out for a relaxed structure of AgSbOs2.

a = 2.973 Å, b = 2.973 Å, c = 8.978 Å
α = 90.00°, β = 90.00°, γ = 117.99°
Element x y z (fractional)
Sb 0.500 0.500 0.250
Os 0.000 0.000 0.018
Os 0.000 0.000 0.482
Ag 0.500 0.500 0.750

Output
E_form (uncorrected) in meV/atom: 1045.6
Mass density in g/cm3: 14.46

[7]
A plane-wave DFT calculation with PBE was carried out for a relaxed structure of SrLi2ZrO4.

a = 5.496 Å, b = 5.237 Å, c = 5.237 Å
α = 63.30°, β = 58.35°, γ = 58.35°
Element x y z (fractional)
Sr 0.000 0.000 0.000
Li 0.250 0.250 0.250
Li 0.750 0.750 0.750
Zr 0.500 0.500 0.500
O 0.451 0.125 0.549
O 0.125 0.875 0.451
O 0.875 0.549 0.125
O 0.549 0.451 0.875

Output
E_form (uncorrected) in meV/atom: -2668.0
Mass density in g/cm3: 4.02

[8]
A plane-wave DFT calculation with PBE was carried out for a relaxed structure of Nd3Be2GaPt9.

a = 5.860 Å, b = 5.860 Å, c = 9.366 Å
α = 90.00°, β = 90.00°, γ = 120.00°
Element x y z (fractional)
Nd 0.333 0.667 0.623
Nd 0.000 0.000 0.000
Nd 0.667 0.333 0.377
Be 0.333 0.667 0.151
Be 0.667 0.333 0.849
Ga 0.000 0.000 0.500
Pt 0.836 0.164 0.702
Pt 0.836 0.671 0.702
Pt 0.329 0.164 0.702
Pt 0.671 0.836 0.298
Pt 0.164 0.329 0.298
Pt 0.164 0.836 0.298
Pt 0.500 0.000 0.000
Pt 0.000 0.500 0.000
Pt 0.500 0.500 0.000

Output
Energy of formation in eV per atom: -0.82
Mass density in g/cm3: 13.57

[9]
A plane-wave DFT calculation with PBE was carried out for a relaxed structure of Ta4TeRh.

a = 5.474 Å, b = 5.474 Å, c = 5.474 Å
α = 60.00°, β = 60.00°, γ = 60.00°
Element x y z (fractional)
Ta 0.875 0.375 0.375
Ta 0.375 0.375 0.875
Ta 0.375 0.875 0.375
Ta 0.375 0.375 0.375
Te 0.750 0.750 0.750
Rh 0.000 0.000 0.000

Output
E_form (uncorrected) in meV/atom: 471.8
Mass density in g/cm3: 13.66

[10]
A plane-wave DFT calculation with PBE was carried out for a relaxed structure of Na2TbAgSb2.

a = 4.535 Å, b = 7.645 Å, c = 9.156 Å
α = 90.00°, β = 90.00°, γ = 90.00°
Element x y z (fractional)
Na 0.500 0.045 0.070
Na 0.000 0.362 0.166
Na 0.500 0.545 0.930
Na 0.000 0.862 0.834
Tb 0.000 0.974 0.446
Tb 0.000 0.474 0.554
Ag 0.500 0.140 0.682
Ag 0.500 0.640 0.318
Sb 0.000 0.266 0.836
Sb 0.500 0.259 0.384
Sb 0.000 0.766 0.164
Sb 0.500 0.759 0.616

Output
E_form (uncorrected) in meV/atom: -591.8
Mass density in g/cm3: 5.82

[11]
A plane-wave DFT calculation with PBE was carried out for a relaxed structure of Gd2IrSe.

a = 3.511 Å, b = 3.511 Å, c = 7.235 Å
α = 90.00°, β = 90.00°, γ = 90.00°
Element x y z (fractional)
Gd 0.000 0.000 0.766
Gd 0.000 0.000 0.234
Ir 0.500 0.500 0.000
Se 0.500 0.500 0.500

Output
Energy above the lowest structure with this stoichiometry in meV/atom: 95.6
E_form (uncorrected) in meV/atom: -1151.2
Mass density in g/cm3: 10.91

[12]
A plane-wave DFT calculation with PBE was carried out for a relaxed structure of TaCd2Ag.

a = 5.414 Å, b = 5.414 Å, c = 5.457 Å
α = 77.27°, β = 77.27°, γ = 30.22°
Element x y z (fractional)
Cd 0.998 0.998 0.003
Cd 0.751 0.751 0.741
Ag 0.249 0.249 0.261
Ta 0.502 0.502 0.495

Output
Energy of formation in eV per atom: 0.33
Energy above the lowest structure with this stoichiometry in meV/atom: 184.6
Mass density in g/cm3: 10.88

[13]
A plane-wave DFT calculation with PBE was carried out for a relaxed structure of Cs2Sr2O3.

a = 7.504 Å, b = 7.227 Å, c = 7.475 Å
α = 63.59°, β = 90.00°, γ = 90.00°
Element x y z (fractional)
Cs 0.355 0.824 0.925
Cs 0.145 0.824 0.425
Cs 0.855 0.176 0.575
Cs 0.645 0.176 0.075
Sr 0.618 0.665 0.571
Sr 0.118 0.335 0.929
Sr 0.882 0.665 0.071
Sr 0.382 0.335 0.429
O 0.500 0.000 0.500
O 0.000 0.000 0.000
O 0.884 0.594 0.777
O 0.384 0.406 0.723
O 0.616 0.594 0.277
O 0.116 0.406 0.223

Output
E_form (uncorrected) in meV/atom: -1915.8
Mass density in g/cm3: 4.47

[14]
A plane-wave DFT calculation with PBE was carried out for a relaxed structure of AcGa2S4.

a = 5.327 Å, b = 5.327 Å, c = 6.957 Å
α = 90.00°, β = 90.00°, γ = 90.00°
Element x y z (fractional)
Ac 0.000 0.000 0.000
Ga 0.500 0.000 0.500
Ga 0.000 0.500 0.500
S 0.733 0.267 0.704
S 0.267 0.267 0.296
S 0.267 0.733 0.704
S 0.733 0.733 0.296

Output
E_form (uncorrected) in meV/atom: -917.3
Mass density in g/cm3: 4.16

[15]
A plane-wave DFT calculation with PBE was carried out for a relaxed structure of AlFeSb.

a = 4.167 Å, b = 4.167 Å, c = 3.611 Å
α = 90.00°, β = 90.00°, γ = 120.00°
Element x y z (fractional)
Sb 0.667 0.333 0.666
Fe 0.333 0.667 0.168
Al 0.000 0.000 0.166

Output
Energy above the lowest structure with this stoichiometry in meV/atom: 342.4
E_form (uncorrected) in meV/atom: 307.4
Mass density in g/cm3: 6.25

[16]
A plane-wave DFT calculation with PBE was carried out for a relaxed structure of Co3CuPb.

a = 4.798 Å, b = 4.798 Å, c = 4.798 Å
α = 90.00°, β = 90.00°, γ = 90.00°
Element x y z (fractional)
Pb 0.000 0.000 0.000
Co 0.000 0.500 0.000
Co 0.000 0.000 0.500
Co 0.500 0.000 0.000
Cu 0.500 0.500 0.500

Output
Energy of formation in eV per atom: 1.85
Energy above the lowest structure with this stoichiometry in meV/atom: 802.8
Mass density in g/cm3: 6.73

[17]
A plane-wave DFT calculation with PBE was carried out for a relaxed structure of Nd2Ho5Sc4.

a = 3.390 Å, b = 8.709 Å, c = 12.196 Å
α = 110.92°, β = 97.99°, γ = 90.00°
Element x y z (fractional)
Nd 0.268 0.268 0.537
Nd 0.732 0.732 0.463
Ho 0.862 0.060 0.724
Ho 0.862 0.664 0.724
Ho 0.138 0.336 0.276
Ho 0.138 0.940 0.276
Ho 0.500 0.000 0.000
Sc 0.000 0.322 0.000
Sc 0.594 0.594 0.188
Sc 0.000 0.678 0.000
Sc 0.406 0.406 0.812

Output
Energy of formation in eV per atom: 0.15
Mass density in g/cm3: 6.45

[18]
A plane-wave DFT calculation with PBE was carried out for a relaxed structure of GeBiF3.

a = 4.662 Å, b = 4.662 Å, c = 4.662 Å
α = 90.00°, β = 90.00°, γ = 90.00°
Element x y z (fractional)
Ge 0.500 0.500 0.500
Bi 0.000 0.000 0.000
F 0.000 0.500 0.000
F 0.000 0.000 0.500
F 0.500 0.000 0.000

Output
Energy above the lowest structure with this stoichiometry in meV/atom: 22.5
E_form (uncorrected) in meV/atom: -1261.4
Mass density in g/cm3: 5.55

[19]
A plane-wave DFT calculation with PBE was carried out for a relaxed structure of FeAu3Br.

a = 5.129 Å, b = 5.129 Å, c = 5.129 Å
α = 90.00°, β = 90.00°, γ = 90.00°
Element x y z (fractional)
Au 0.000 0.500 0.000
Au 0.000 0.000 0.500
Au 0.500 0.000 0.000
Fe 0.500 0.500 0.500
Br 0.000 0.000 0.000

Output
Energy above the lowest structure with this stoichiometry in meV/atom: 639.3
E_form (uncorrected) in meV/atom: 1421.5
Mass density in g/cm3: 8.94

[20]
A plane-wave DFT calculation with PBE was carried out for a relaxed structure of Pu2ScPaN4.

a = 3.450 Å, b = 5.937 Å, c = 5.896 Å
α = 70.66°, β = 90.00°, γ = 90.00°
Element x y z (fractional)
Pu 0.000 0.000 0.000
Pu 0.500 0.000 0.500
Sc 0.500 0.500 0.000
Pa 0.000 0.500 0.500
N 0.000 0.735 0.756
N 0.000 0.265 0.244
N 0.500 0.732 0.245
N 0.500 0.268 0.755

Output
E_form (uncorrected) in meV/atom: -1469.2
Mass density in g/cm3: 11.95

[21]
A plane-wave DFT calculation with PBE was carried out for a relaxed structure of Tm2Sb4Rh9.

a = 4.418 Å, b = 4.418 Å, c = 16.022 Å
α = 90.00°, β = 90.00°, γ = 120.00°
Element x y z (fractional)
Tm 0.333 0.667 0.757
Tm 0.667 0.333 0.243
Sb 0.333 0.667 0.387
Sb 0.667 0.333 0.613
Sb 0.667 0.333 0.891
Sb 0.333 0.667 0.109
Rh 0.000 0.000 0.335
Rh 0.000 0.000 0.665
Rh 0.000 0.000 0.851
Rh 0.000 0.000 0.149
Rh 0.333 0.667 0.565
Rh 0.667 0.333 0.435
Rh 0.667 0.333 0.053
Rh 0.333 0.667 0.947
Rh 0.000 0.000 0.500

Output
E_form (uncorrected) in meV/atom: -566.2
Mass density in g/cm3: 10.74

[22]
A plane-wave DFT calculation with PBE was carried out for a relaxed structure of Pr2Tm3Sn4.

a = 6.976 Å, b = 8.894 Å, c = 9.246 Å
α = 90.00°, β = 112.16°, γ = 90.00°
Element x y z (fractional)
Pr 0.111 0.588 0.222
Pr 0.889 0.412 0.778
Pr 0.389 0.088 0.778
Pr 0.611 0.912 0.222
Tm 0.000 0.000 0.000
Tm 0.500 0.500 0.000
Tm 0.542 0.750 0.584
Tm 0.958 0.250 0.416
Tm 0.458 0.250 0.416
Tm 0.042 0.750 0.584
Sn 0.717 0.750 0.934
Sn 0.783 0.250 0.066
Sn 0.283 0.250 0.066
Sn 0.217 0.750 0.934
Sn 0.186 0.946 0.373
Sn 0.814 0.054 0.627
Sn 0.314 0.446 0.627
Sn 0.686 0.554 0.373

Output
Energy of formation in eV per atom: -0.63
Energy above the lowest structure with this stoichiometry in meV/atom: 150.4
Mass density in g/cm3: 7.90

[23]
A plane-wave DFT calculation with PBE was carried out for a relaxed structure of Rb2AlBr7.

a = 8.369 Å, b = 8.369 Å, c = 8.017 Å
α = 58.54°, β = 58.54°, γ = 90.00°
Element x y z (fractional)
Br 0.000 0.000 0.000
Br 0.236 0.236 0.528
Br 0.764 0.764 0.472
Br 0.294 0.294 0.000
Br 0.706 0.706 0.000
Br 0.706 0.294 0.000
Br 0.294 0.706 0.000
Rb 0.750 0.250 0.500
Rb 0.250 0.750 0.500
Al 0.500 0.500 0.000

Output
E_form (uncorrected) in meV/atom: -1060.2
Mass density in g/cm3: 3.32

[24]
A plane-wave DFT calculation with PBE was carried out for a relaxed structure of Cu2PdPt4.

a = 2.718 Å, b = 2.718 Å, c = 16.769 Å
α = 85.35°, β = 85.35°, γ = 60.00°
Element x y z (fractional)
Cu 0.235 0.235 0.294
Cu 0.765 0.765 0.706
Pd 0.000 0.000 0.000
Pt 0.714 0.714 0.857
Pt 0.286 0.286 0.143
Pt 0.141 0.141 0.576
Pt 0.859 0.859 0.424

Output
Energy of formation in eV per atom: 0.02
Energy above the lowest structure with this stoichiometry in meV/atom: 18.4
Mass density in g/cm3: 15.76